Entry 1:
DFT (GGA-PBE) results for a relaxed structure of Li2FePt2.

Results
Polymorph energy (0 for the lowest one), eV/atom: 0.2766
ΔH_f (0 K), meV per atom: 39
VASP energy, eV per atom: -4.8356
Symmetry: No. 127
Total magnetization, μB per cell: 0.59

```
data_Li2FePt2
_cell_length_a 7.0968
_cell_length_b 7.0968
_cell_length_c 2.7024
_cell_angle_alpha 90.00
_cell_angle_beta 90.00
_cell_angle_gamma 90.00
_symmetry_space_group_name_H-M 'P 1'
_symmetry_Int_Tables_number 1
_symmetry_space_group_name_Hall 'P 1'
loop_
_atom_site_label
_atom_site_fract_x
_atom_site_fract_y
_atom_site_fract_z
_atom_site_occupancy
Li1 0.1190 0.3810 0.0000 1
Li2 0.3810 0.8810 0.0000 1
Li3 0.6190 0.1190 0.0000 1
Li4 0.8810 0.6190 0.0000 1
Fe1 0.0000 0.0000 0.5000 1
Fe2 0.5000 0.5000 0.5000 1
Pt1 0.1808 0.6808 0.5000 1
Pt2 0.3192 0.1808 0.5000 1
Pt3 0.6808 0.8192 0.5000 1
Pt4 0.8192 0.3192 0.5000 1
```

Entry 2:
DFT (GGA-PBE) results for a relaxed structure of Li2FePt.

Results
ΔH_f (0 K), meV per atom: -53
VASP energy, eV per atom: -4.6362
Symmetry: No. 225
Total magnetization, μB per cell: 12.30

```
data_Li2FePt
_cell_length_a 5.8924
_cell_length_b 5.8924
_cell_length_c 5.8924
_cell_angle_alpha 90.00
_cell_angle_beta 90.00
_cell_angle_gamma 90.00
_symmetry_space_group_name_H-M 'P 1'
_symmetry_Int_Tables_number 1
_symmetry_space_group_name_Hall 'P 1'
loop_
_atom_site_label
_atom_site_fract_x
_atom_site_fract_y
_atom_site_fract_z
_atom_site_occupancy
Li1 0.2500 0.2500 0.2500 1
Li2 0.2500 0.2500 0.7500 1
Li3 0.2500 0.7500 0.2500 1
Li4 0.2500 0.7500 0.7500 1
Li5 0.7500 0.2500 0.2500 1
Li6 0.7500 0.2500 0.7500 1
Li7 0.7500 0.7500 0.2500 1
Li8 0.7500 0.7500 0.7500 1
Fe1 0.0000 0.0000 0.0000 1
Fe2 0.0000 0.5000 0.5000 1
Fe3 0.5000 0.0000 0.5000 1
Fe4 0.5000 0.5000 0.0000 1
Pt1 0.0000 0.0000 0.5000 1
Pt2 0.0000 0.5000 0.0000 1
Pt3 0.5000 0.0000 0.0000 1
Pt4 0.5000 0.5000 0.5000 1
```

Entry 3:
DFT (GGA-PBE) results for a relaxed structure of LiFe2Pt.

Results
ΔH_f (0 K), meV per atom: -76
VASP energy, eV per atom: -6.2963
Symmetry: No. 6
Total magnetization, μB per cell: 5.46

```
data_LiFe2Pt
_cell_length_a 2.6098
_cell_length_b 4.1055
_cell_length_c 4.9085
_cell_angle_alpha 90.00
_cell_angle_beta 98.49
_cell_angle_gamma 90.00
_symmetry_space_group_name_H-M 'P 1'
_symmetry_Int_Tables_number 1
_symmetry_space_group_name_Hall 'P 1'
loop_
_atom_site_label
_atom_site_fract_x
_atom_site_fract_y
_atom_site_fract_z
_atom_site_occupancy
Li1 0.0000 0.0000 0.0000 1
Fe1 0.1874 0.5000 0.7463 1
Fe2 0.4315 0.0000 0.5093 1
Pt1 0.7091 0.5000 0.2385 1
```